one.
A geometry-optimized LaPm2Co structure. Source: Alexandria, functional PBE.

Unit cell a=3.7553 b=6.4407 c=9.9438 alpha=90.00 beta=90.00 gamma=106.95
With the nearest neighbours (Å) after each atom.
Atoms (fractional coordinates):
Co 0.2527 0.5054 0.7500  2 La 2.71, 4 Pm 2.87
La 0.5938 0.1873 0.7500  2 Co 2.71
Pm 0.1435 0.2863 0.4264  2 Co 2.87
Co 0.7473 0.4946 0.2500  2 La 2.71, 4 Pm 2.87
Pm 0.1435 0.2863 0.0736  2 Co 2.87
Pm 0.8565 0.7137 0.9264  2 Co 2.87
La 0.4062 0.8127 0.2500  2 Co 2.71
Pm 0.8565 0.7137 0.5736  2 Co 2.87

Its crystal system is orthorhombic. Its space-group type is Cmcm.

two.
A geometry-optimized LaPm2Co structure. Source: Alexandria, functional PBE.

Unit cell a=3.5080 b=3.5080 c=9.2795 alpha=90.00 beta=90.00 gamma=90.00
With the nearest neighbours (Å) after each atom.
Atoms (fractional coordinates):
Pm 0.0000 0.0000 0.1772  4 Co 2.98, 1 Pm 3.29
Co 0.5000 0.5000 0.0000  8 Pm 2.98
Pm 0.0000 0.0000 0.8228  4 Co 2.98, 1 Pm 3.29
La 0.5000 0.5000 0.5000  4 La 3.51, 8 Pm 3.89

Its crystal system is tetragonal. Its space-group type is P4/mmm.

It turns out one is the most stable, with the second structure 0.098 eV/atom higher.

one.
A geometry-optimized LaPr3Co structure. Source: Alexandria, functional PBE.

Unit cell a=5.5276 b=5.5276 c=5.5276 alpha=90.00 beta=90.00 gamma=90.00
With the nearest neighbours (Å) after each atom.
Atoms (fractional coordinates):
Pr 0.0000 0.5000 0.0000  2 Co 2.76
Pr 0.5000 0.0000 0.0000  2 Co 2.76
La 0.5000 0.5000 0.5000  12 Pr 3.91
Co 0.0000 0.0000 0.0000  6 Pr 2.76
Pr 0.0000 0.0000 0.5000  2 Co 2.76

Its crystal system is cubic. Its space-group type is Pm-3m.

two.
A geometry-optimized LaPr3Co structure. Source: Alexandria, functional PBE.

Unit cell a=7.5088 b=7.5088 c=7.4486 alpha=109.73 beta=109.78 gamma=109.23
With the nearest neighbours (Å) after each atom.
Atoms (fractional coordinates):
Pr 0.8365 0.0454 0.2921  1 Co 2.69
Pr 0.7533 0.5444 0.7079  1 Co 2.69
Pr 0.7060 0.4559 0.1620  1 Co 2.68
Pr 0.2940 0.5441 0.8380  1 Co 2.68
Pr 0.1635 0.9546 0.7079  1 Co 2.69
Co 0.3651 0.2421 0.6072  1 La 2.48, 3 Pr 2.68-2.69
La 0.7096 0.0375 0.7471  1 Co 2.48
Pr 0.2467 0.4556 0.2921  1 Co 2.69
Co 0.6349 0.7579 0.3928  1 La 2.48, 3 Pr 2.68-2.69
La 0.2904 0.9625 0.2529  1 Co 2.48

Its crystal system is monoclinic. Its space-group type is C2/m.

It turns out two is the most stable, with the second structure 0.150 eV/atom higher.

one.
A geometry-optimized La2PrCo structure. Source: Alexandria, functional PBE.

Unit cell a=3.9375 b=3.9375 c=9.6983 alpha=78.29 beta=78.29 gamma=60.00
With the nearest neighbours (Å) after each atom.
Atoms (fractional coordinates):
La 0.2779 0.2779 0.1662  3 Co 2.75
La 0.0555 0.0555 0.8334  3 Co 2.77
Pr 0.5005 0.5005 0.4984  6 La 3.87-3.89, 6 Pr 3.94
Co 0.6660 0.6660 0.0020  6 La 2.75-2.77

Its crystal system is trigonal. Its space-group type is R3m.

two.
A geometry-optimized La2PrCo structure. Source: Alexandria, functional PBE.

Unit cell a=3.8056 b=3.8056 c=10.7421 alpha=79.80 beta=79.80 gamma=60.00
With the nearest neighbours (Å) after each atom.
Atoms (fractional coordinates):
La 0.1150 0.1150 0.6551  3 Co 2.74
La 0.8850 0.8850 0.3449  3 Co 2.74
Co 0.5000 0.5000 0.5000  6 La 2.74
Pr 0.0000 0.0000 0.0000  2 La 3.63, 6 Pr 3.81

Its crystal system is trigonal. Its space-group type is R-3m.

It turns out one is the most stable, with the second structure 0.131 eV/atom higher.

one.
A geometry-optimized La2PrCo structure. Source: Alexandria, functional PBE.

Unit cell a=6.5158 b=7.1345 c=10.1100 alpha=90.00 beta=90.00 gamma=90.00
With the nearest neighbours (Å) after each atom.
Atoms (fractional coordinates):
La 0.1708 0.6626 0.0723  2 Co 2.69-2.90
La 0.6708 0.8374 0.9277  2 Co 2.69-2.90
Co 0.0869 0.3933 0.2500  4 La 2.69-2.90, 1 Pr 2.86
La 0.3292 0.1626 0.0723  2 Co 2.69-2.90
Pr 0.8561 0.0518 0.2500  2 Co 2.86-3.10
Pr 0.1439 0.9482 0.7500  2 Co 2.86-3.10
La 0.6708 0.8374 0.5723  2 Co 2.69-2.90
Co 0.9131 0.6067 0.7500  4 La 2.69-2.90, 1 Pr 2.86
La 0.3292 0.1626 0.4277  2 Co 2.69-2.90
La 0.8292 0.3374 0.9277  2 Co 2.69-2.90
La 0.1708 0.6626 0.4277  2 Co 2.69-2.90
Co 0.4131 0.8933 0.2500  4 La 2.69-2.90, 1 Pr 2.86
Pr 0.6439 0.5518 0.2500  2 Co 2.86-3.10
Pr 0.3561 0.4482 0.7500  2 Co 2.86-3.10
Co 0.5869 0.1067 0.7500  4 La 2.69-2.90, 1 Pr 2.86
La 0.8292 0.3374 0.5723  2 Co 2.69-2.90

Its crystal system is orthorhombic. Its space-group type is Pnma.

two.
A geometry-optimized La2PrCo structure. Source: Alexandria, functional PBE.

Unit cell a=3.5610 b=3.5610 c=9.3513 alpha=90.00 beta=90.00 gamma=90.00
With the nearest neighbours (Å) after each atom.
Atoms (fractional coordinates):
Co 0.5000 0.5000 0.0000  8 La 3.00
La 0.0000 0.0000 0.1738  4 Co 3.00, 1 La 3.25
Pr 0.5000 0.5000 0.5000  4 Pr 3.56, 8 La 3.96
La 0.0000 0.0000 0.8262  4 Co 3.00, 1 La 3.25

Its crystal system is tetragonal. Its space-group type is P4/mmm.

It turns out one is the most stable, with the second structure 0.127 eV/atom higher.

one.
A geometry-optimized LaCoPt3 structure. Source: Alexandria, functional PBE.

Unit cell a=4.6874 b=4.6874 c=4.6874 alpha=90.00 beta=90.00 gamma=90.00
With the nearest neighbours (Å) after each atom.
Atoms (fractional coordinates):
Pt 0.5000 0.0000 0.0000  2 Co 2.34
Pt 0.0000 0.0000 0.5000  2 Co 2.34
La 0.5000 0.5000 0.5000  12 Pt 3.31
Pt 0.0000 0.5000 0.0000  2 Co 2.34
Co 0.0000 0.0000 0.0000  6 Pt 2.34

Its crystal system is cubic. Its space-group type is Pm-3m.

two.
A geometry-optimized LaCoPt3 structure. Source: Alexandria, functional PBE.

Unit cell a=5.1829 b=5.1829 c=5.1829 alpha=90.00 beta=90.00 gamma=90.00
With the nearest neighbours (Å) after each atom.
Atoms (fractional coordinates):
La 0.0000 0.0000 0.0000  6 Pt 2.59
Pt 0.0000 0.5000 0.0000  2 La 2.59
Co 0.5000 0.5000 0.5000  12 Pt 3.66
Pt 0.5000 0.0000 0.0000  2 La 2.59
Pt 0.0000 0.0000 0.5000  2 La 2.59

Its crystal system is cubic. Its space-group type is Pm-3m.

It turns out one is the most stable, with the second structure 1.796 eV/atom higher.

one.
A geometry-optimized La2TiCoPt structure. Source: Alexandria, functional PBE.

Unit cell a=5.7146 b=4.7553 c=5.7146 alpha=90.00 beta=90.00 gamma=90.00
With the nearest neighbours (Å) after each atom.
Atoms (fractional coordinates):
Pt 0.0000 0.0000 0.0000  2 Ti 2.38
Co 0.5000 0.5000 0.5000  8 La 3.72, 4 Ti 4.04
Ti 0.0000 0.5000 0.0000  2 Pt 2.38
La 0.0000 0.0000 0.5000  2 Pt 2.86
La 0.5000 0.0000 0.0000  2 Pt 2.86

Its crystal system is tetragonal. Its space-group type is P4/mmm.

two.
A geometry-optimized La2TiCoPt structure. Source: Alexandria, functional PBE.

Unit cell a=5.5149 b=4.1111 c=5.5149 alpha=90.00 beta=90.00 gamma=90.00
With the nearest neighbours (Å) after each atom.
Atoms (fractional coordinates):
La 0.0000 0.0000 0.5000  2 Ti 2.76
Pt 0.5000 0.5000 0.5000  8 La 3.44
Co 0.0000 0.5000 0.0000  2 Ti 2.06
Ti 0.0000 0.0000 0.0000  2 Co 2.06
La 0.5000 0.0000 0.0000  2 Ti 2.76

Its crystal system is tetragonal. Its space-group type is P4/mmm.

It turns out one is the most stable, with the second structure 0.018 eV/atom higher.